# 1
{"formula": "CdBSbI2", "functional": "GGA-PBE", "state": "relaxed", "e_above_lowest_polymorph_mev_per_atom": 537, "e_form_raw_mev_per_atom": 1249.4, "space_group": "P4/mmm, No. 123", "lattice": [[5.8851, 0.0000, 0.0000], [0.0000, 5.8851, 0.0000], [0.0000, 0.0000, 5.6272]], "species": ["Cd", "B", "Sb", "I", "I"], "fractional_positions": [[0.0000, 0.0000, 0.0000], [0.5000, 0.5000, 0.5000], [0.0000, 0.0000, 0.5000], [0.0000, 0.5000, 0.0000], [0.5000, 0.0000, 0.0000]]}


# 2
{"formula": "YAlCd", "functional": "GGA-PBE", "state": "relaxed", "space_group": "Pnma, No. 62", "e_form_ev_per_atom": -0.2842, "lattice": [[6.4473, 0.0000, 0.0000], [0.0000, 4.6598, 0.0000], [0.0000, 0.0000, 9.1470]], "species": ["Y", "Y", "Y", "Y", "Al", "Al", "Al", "Al", "Cd", "Cd", "Cd", "Cd"], "fractional_positions": [[0.1584, 0.2500, 0.0904], [0.3416, 0.7500, 0.5904], [0.6584, 0.2500, 0.4096], [0.8416, 0.7500, 0.9096], [0.0681, 0.2500, 0.7389], [0.4319, 0.7500, 0.2389], [0.5681, 0.2500, 0.7611], [0.9319, 0.7500, 0.2611], [0.1433, 0.2500, 0.4193], [0.3567, 0.7500, 0.9193], [0.6433, 0.2500, 0.0807], [0.8567, 0.7500, 0.5807]]}


# 3
{"formula": "Zn3RuO", "functional": "GGA-PBE", "state": "relaxed", "e_above_lowest_polymorph_mev_per_atom": 0, "e_form_raw_mev_per_atom": -3.4, "space_group": "Pm-3m, No. 221", "lattice": [[4.0845, 0.0000, 0.0000], [0.0000, 4.0845, 0.0000], [0.0000, 0.0000, 4.0845]], "species": ["Zn", "Zn", "Zn", "Ru", "O"], "fractional_positions": [[0.0000, 0.0000, 0.5000], [0.0000, 0.5000, 0.0000], [0.5000, 0.0000, 0.0000], [0.5000, 0.5000, 0.5000], [0.0000, 0.0000, 0.0000]]}


# 4
{"formula": "Tc2Os", "functional": "GGA-PBE", "state": "relaxed", "e_above_lowest_polymorph_mev_per_atom": 124, "space_group": "Cmcm, No. 63", "e_form_ev_per_atom": 0.0601, "lattice": [[1.9333, -5.8324, 0.0000], [1.9333, 5.8324, 0.0000], [0.0000, 0.0000, 3.8646]], "species": ["Tc", "Tc", "Tc", "Tc", "Os", "Os"], "fractional_positions": [[0.0812, 0.9188, 0.7500], [0.2495, 0.7505, 0.2500], [0.7505, 0.2495, 0.7500], [0.9188, 0.0812, 0.2500], [0.4172, 0.5828, 0.7500], [0.5828, 0.4172, 0.2500]]}


Number 1: total DFT energy (no corrections) -8.57 eV/cell. Number 2: total DFT energy (no corrections) -47.90 eV/cell. Number 3: total DFT energy (no corrections) -18.07 eV/cell. Number 4: total DFT energy (no corrections) -63.56 eV/cell.